This record from Alexandria via LeMat-Bulk describes crystalline KHg2 at its relaxed geometry. The functional is GGA-PBE.

```
data_KHg2
_symmetry_space_group_name_H-M 'C 1 2/m 1'
_symmetry_Int_Tables_number 12
_cell_length_a 12.7111
_cell_length_b 5.0666
_cell_length_c 6.7185
_cell_angle_alpha 90.00
_cell_angle_beta 103.52
_cell_angle_gamma 90.00
loop_
_symmetry_equiv_pos_as_xyz
'x,y,z'
'-x,-y,-z'
'-x,y,-z'
'x,-y,z'
'x+1/2,y+1/2,z'
'-x+1/2,-y+1/2,-z'
'-x+1/2,y+1/2,-z'
'x+1/2,-y+1/2,z'
loop_
_atom_site_label
_atom_site_fract_x
_atom_site_fract_y
_atom_site_fract_z
_atom_site_occupancy
K1 0.1053 0.0000 0.2982 1
Hg1 0.0997 0.5000 0.6935 1
Hg2 0.2293 0.0000 0.8472 1
```

---

This record from Alexandria via LeMat-Bulk describes crystalline K2LaHg at its relaxed geometry. The functional is GGA-PBE.

```
data_K2LaHg
_symmetry_space_group_name_H-M 'C 1 m 1'
_symmetry_Int_Tables_number 8
_cell_length_a 10.9280
_cell_length_b 4.0632
_cell_length_c 9.5030
_cell_angle_alpha 90.00
_cell_angle_beta 107.63
_cell_angle_gamma 90.00
loop_
_symmetry_equiv_pos_as_xyz
'x,y,z'
'x,-y,z'
'x+1/2,y+1/2,z'
'x+1/2,-y+1/2,z'
loop_
_atom_site_label
_atom_site_fract_x
_atom_site_fract_y
_atom_site_fract_z
_atom_site_occupancy
K1 0.0000 0.0000 0.0000 1
K2 0.1701 0.0000 0.6479 1
La1 0.3522 0.0000 0.3237 1
Hg1 0.1390 0.5000 0.3245 1
```

---

This record from Alexandria via LeMat-Bulk describes crystalline K2LaHg at its relaxed geometry. The functional is GGA-PBE.

```
data_K2LaHg
_symmetry_space_group_name_H-M 'P 4/m m m'
_symmetry_Int_Tables_number 123
_symmetry_space_group_name_Hall '-P 4 2'
_cell_length_a 3.6983
_cell_length_b 3.6983
_cell_length_c 12.3287
_cell_angle_alpha 90.00
_cell_angle_beta 90.00
_cell_angle_gamma 90.00
loop_
_atom_site_label
_atom_site_fract_x
_atom_site_fract_y
_atom_site_fract_z
_atom_site_occupancy
K1 0.0000 0.0000 0.2104 1
La1 0.5000 0.5000 0.5000 1
Hg1 0.5000 0.5000 0.0000 1
```

---

# GGA-PBE KLaHg3, relaxed
data_KLaHg3
_symmetry_space_group_name_H-M 'P m -3 m'
_symmetry_Int_Tables_number 221
_symmetry_space_group_name_Hall '-P 4 2 3'
_cell_length_a 5.6544
_cell_length_b 5.6544
_cell_length_c 5.6544
_cell_angle_alpha 90.00
_cell_angle_beta 90.00
_cell_angle_gamma 90.00
loop_
_atom_site_label
_atom_site_fract_x
_atom_site_fract_y
_atom_site_fract_z
_atom_site_occupancy
K1 0.0000 0.0000 0.0000 1
La1 0.5000 0.5000 0.5000 1
Hg1 0.0000 0.0000 0.5000 1
# Energy relative to the lowest polymorph listed for this composition (eV/atom): 0.2939

---

This record from Alexandria via LeMat-Bulk describes crystalline K2LaHg at its relaxed geometry. The functional is GGA-PBE.

```
data_K2LaHg
_symmetry_space_group_name_H-M 'P m m m'
_symmetry_Int_Tables_number 47
_cell_length_a 3.7545
_cell_length_b 5.9835
_cell_length_c 7.3061
_cell_angle_alpha 90.00
_cell_angle_beta 90.00
_cell_angle_gamma 90.00
loop_
_symmetry_equiv_pos_as_xyz
'x,y,z'
'-x,-y,-z'
'-x,-y,z'
'x,y,-z'
'x,-y,-z'
'-x,y,z'
'-x,y,-z'
'x,-y,z'
loop_
_atom_site_label
_atom_site_fract_x
_atom_site_fract_y
_atom_site_fract_z
_atom_site_occupancy
K1 0.0000 0.0000 0.2284 1
La1 0.5000 0.5000 0.5000 1
Hg1 0.5000 0.5000 0.0000 1
```

---

This record from Alexandria via LeMat-Bulk describes crystalline K2LaHg at its relaxed geometry. The functional is GGA-PBE.

```
data_K2LaHg
_symmetry_space_group_name_H-M 'I -4 2 d'
_symmetry_Int_Tables_number 122
_symmetry_space_group_name_Hall 'I -4 2bw'
_cell_length_a 10.3694
_cell_length_b 10.3694
_cell_length_c 6.4220
_cell_angle_alpha 90.00
_cell_angle_beta 90.00
_cell_angle_gamma 90.00
loop_
_atom_site_label
_atom_site_fract_x
_atom_site_fract_y
_atom_site_fract_z
_atom_site_occupancy
K1 0.1860 0.2500 0.1250 1
La1 0.0000 0.0000 0.5000 1
Hg1 0.0000 0.0000 0.0000 1
```

---

This record from Alexandria via LeMat-Bulk describes crystalline KLaHg2 at its relaxed geometry. The functional is GGA-PBE.

```
data_KLaHg2
_symmetry_space_group_name_H-M 'I -4 m 2'
_symmetry_Int_Tables_number 119
_symmetry_space_group_name_Hall 'I -4 -2'
_cell_length_a 4.7934
_cell_length_b 4.7934
_cell_length_c 10.5907
_cell_angle_alpha 90.00
_cell_angle_beta 90.00
_cell_angle_gamma 90.00
loop_
_atom_site_label
_atom_site_fract_x
_atom_site_fract_y
_atom_site_fract_z
_atom_site_occupancy
K1 0.0000 0.0000 0.0000 1
La1 0.0000 0.5000 0.7500 1
Hg1 0.0000 0.0000 0.5000 1
Hg2 0.0000 0.5000 0.2500 1
```

---

This record from Alexandria via LeMat-Bulk describes crystalline K2LaHg at its relaxed geometry. The functional is GGA-PBE.

```
data_K2LaHg
_symmetry_space_group_name_H-M 'P 1 2/m 1'
_symmetry_Int_Tables_number 10
_cell_length_a 3.8481
_cell_length_b 6.9223
_cell_length_c 5.9613
_cell_angle_alpha 90.00
_cell_angle_beta 92.81
_cell_angle_gamma 90.00
loop_
_symmetry_equiv_pos_as_xyz
'x,y,z'
'-x,-y,-z'
'-x,y,-z'
'x,-y,z'
loop_
_atom_site_label
_atom_site_fract_x
_atom_site_fract_y
_atom_site_fract_z
_atom_site_occupancy
K1 0.2150 0.0000 0.2667 1
La1 0.5000 0.5000 0.0000 1
Hg1 0.0000 0.5000 0.5000 1
```

---

This record from Alexandria via LeMat-Bulk describes crystalline KLaHg2 at its relaxed geometry. The functional is GGA-PBE.

```
data_KLaHg2
_symmetry_space_group_name_H-M 'I -4 2 d'
_symmetry_Int_Tables_number 122
_symmetry_space_group_name_Hall 'I -4 2bw'
_cell_length_a 8.7270
_cell_length_b 8.7270
_cell_length_c 7.7795
_cell_angle_alpha 90.00
_cell_angle_beta 90.00
_cell_angle_gamma 90.00
loop_
_atom_site_label
_atom_site_fract_x
_atom_site_fract_y
_atom_site_fract_z
_atom_site_occupancy
K1 0.0000 0.0000 0.0000 1
La1 0.0000 0.0000 0.5000 1
Hg1 0.2334 0.2500 0.6250 1
```

---

This record from Alexandria via LeMat-Bulk describes crystalline K2LaHg at its relaxed geometry. The functional is GGA-PBE.

```
data_K2LaHg
_symmetry_space_group_name_H-M 'C m m m'
_symmetry_Int_Tables_number 65
_symmetry_space_group_name_Hall '-C 2 2'
_cell_length_a 7.1835
_cell_length_b 12.8282
_cell_length_c 3.6635
_cell_angle_alpha 90.00
_cell_angle_beta 90.00
_cell_angle_gamma 90.00
loop_
_atom_site_label
_atom_site_fract_x
_atom_site_fract_y
_atom_site_fract_z
_atom_site_occupancy
K1 0.2500 0.2500 0.0000 1
La1 0.0000 0.0000 0.5000 1
Hg1 0.0000 0.5000 0.5000 1
```

---

This record from Alexandria via LeMat-Bulk describes crystalline KLaHg14 at its relaxed geometry. The functional is GGA-PBE.

```
data_KLaHg14
_symmetry_space_group_name_H-M 'P 4/m m m'
_symmetry_Int_Tables_number 123
_symmetry_space_group_name_Hall '-P 4 2'
_cell_length_a 6.9486
_cell_length_b 6.9486
_cell_length_c 9.0170
_cell_angle_alpha 90.00
_cell_angle_beta 90.00
_cell_angle_gamma 90.00
loop_
_atom_site_label
_atom_site_fract_x
_atom_site_fract_y
_atom_site_fract_z
_atom_site_occupancy
K1 0.0000 0.0000 0.0000 1
La1 0.5000 0.5000 0.0000 1
Hg1 0.0000 0.0000 0.5000 1
Hg2 0.0000 0.5000 0.0000 1
Hg3 0.0000 0.5000 0.5000 1
Hg4 0.2526 0.2526 0.2596 1
Hg5 0.5000 0.5000 0.5000 1
```

---

This record from Alexandria via LeMat-Bulk describes crystalline KLaHg6 at its relaxed geometry. The functional is GGA-PBE.

```
data_KLaHg6
_symmetry_space_group_name_H-M 'A m m 2'
_symmetry_Int_Tables_number 38
_cell_length_a 5.3004
_cell_length_b 6.9550
_cell_length_c 12.0382
_cell_angle_alpha 90.00
_cell_angle_beta 90.00
_cell_angle_gamma 90.00
loop_
_symmetry_equiv_pos_as_xyz
'x,y,z'
'-x,-y,z'
'-x,y,z'
'x,-y,z'
'x,y+1/2,z+1/2'
'-x,-y+1/2,z+1/2'
'-x,y+1/2,z+1/2'
'x,-y+1/2,z+1/2'
loop_
_atom_site_label
_atom_site_fract_x
_atom_site_fract_y
_atom_site_fract_z
_atom_site_occupancy
K1 0.0000 0.0000 0.0000 1
La1 0.5000 0.0000 0.6686 1
Hg1 0.0000 0.0000 0.4983 1
Hg2 0.0000 0.2441 0.2522 1
Hg3 0.5000 0.0000 0.1784 1
Hg4 0.5000 0.2320 0.4121 1
```

---

no.,calculated density (g/cm3),ΔE_f (meV/atom)
1,7.0,-234
2,3.4,32
3,4.1,139
4,7.2,326
5,4.2,236
6,4.0,268
7,7.9,-106
8,4.4,160
9,6.5,-22
10,4.1,258
11,11.4,-157
12,10.3,-294